A relaxed Cs2RbSn3O8 crystal. Source: Alexandria, functional PBE-GGA.

Cell lengths 6.572, 6.572, 8.114 Å; angles 66.11, 66.11, 60.00 degrees
Each line ends with the local moment (μB).
Fractional coordinates of all 14 atoms:
1 Rb 0.875 0.875 0.374  0.00
2 Sn 0.998 0.499 0.004  -0.01
3 Sn 0.499 0.499 0.004  -0.01
4 Sn 0.499 0.998 0.004  -0.01
5 Cs 0.499 0.499 0.502  0.00
6 Cs 0.130 0.130 0.610  0.01
7 O 0.763 0.321 0.153  0.13
8 O 0.675 0.236 0.853  0.15
9 O 0.236 0.675 0.853  0.15
10 O 0.321 0.763 0.153  0.13
11 O 0.236 0.236 0.853  0.15
12 O 0.278 0.278 0.166  0.00
13 O 0.763 0.763 0.153  0.13
14 O 0.720 0.720 0.839  -0.01

- total DFT energy (no corrections) (eV/cell) = -74.63
- energy relative to the elements, uncorrected (eV/atom) = -1.449
- total magnetization (μB per cell) = 1.02